Record 1
Here is an optimized crystal structure of BaHfPt from OQMD via LeMat-Bulk. Energies are from PBE.

Calculated values
Space-group type   F-43m (216)
ΔE to the lowest computed polymorph   0 meV/atom
Size of the total moment   0.05 μB per cell

abc: 4.995 4.995 4.995
angles: 60.00 60.00 60.00
Positions (direct):
Hf: 0.750 0.750 0.750
Pt: 0.000 0.000 0.000
Ba: 0.250 0.250 0.250

=====

Record 2
Here is an optimized crystal structure of BaHfPt from OQMD via LeMat-Bulk. Energies are from PBE.

Calculated values
Space-group type   F-43m (216)
ΔE to the lowest computed polymorph   886 meV/atom
Size of the total moment   0.00 μB per cell

abc: 4.879 4.879 4.879
angles: 60.00 60.00 60.00
Positions (direct):
Ba: 0.000 0.000 0.000
Pt: 0.750 0.750 0.750
Hf: 0.250 0.250 0.250

=====

Please write out number 2 again, unchanged.
Here is an optimized crystal structure of BaHfPt from OQMD via LeMat-Bulk. Energies are from PBE.

Calculated values
Space-group type   F-43m (216)
ΔE to the lowest computed polymorph   886 meV/atom
Size of the total moment   0.00 μB per cell

abc: 4.879 4.879 4.879
angles: 60.00 60.00 60.00
Positions (direct):
Ba: 0.000 0.000 0.000
Pt: 0.750 0.750 0.750
Hf: 0.250 0.250 0.250

=====

Among the records above, which one has the highest ΔE to the lowest computed polymorph? number 2

=====

ΔE to the lowest computed polymorph of number 2 (BaHfPt)? 886 meV/atom